The following is a DFT calculation (PBE-GGA) of a geometry-optimized RbHPtO2 structure.

Theoretical density   6.7 g/cm3
DFT total energy   -4.91 eV/atom

Lattice parameters (Å, degrees): 4.872 4.931 6.505 90.00 90.25 90.00
Space group P2/c (No. 13)
Inequivalent atoms, fractional coordinates:
1 Rb 0.000 0.001 0.250 [2 per cell]
2 H 0.500 0.000 0.000 [2 per cell]
3 Pt 0.500 0.500 0.250 [2 per cell]
4 O 0.500 0.244 0.000 [4 per cell]